The following is a DFT calculation (GGA+U) of HoCr2SbO6 after structural relaxation.

abc: 5.4765 5.4795 5.5477
angles: 90.77 119.30 119.37
Sites, in units of the cell vectors:
Ho  0.0000  0.0000  0.0000
Cr  0.4999  0.7732  0.2865
Cr  0.5100  0.2938  0.7833
Sb  0.9200  0.4317  0.4698
O  0.0029  0.0598  0.6034
O  0.0092  0.5907  0.9832
O  0.4686  0.5875  0.5861
O  0.4735  0.0934  0.4477
O  0.5155  0.4669  0.1131
O  0.6596  0.0754  0.0750

Results
- magnetic moment (μB per formula unit) = 6.0
- total energy (eV/atom) = -7.4787